Hf2BeAs: relaxed, PBE.

Cell lengths 4.603, 4.603, 4.603 Å; angles 60.00, 60.00, 60.00 degrees
Sites, in units of the cell vectors:
Hf 0.250 0.250 0.250
Hf 0.750 0.750 0.750
Be 0.000 0.000 0.000
As 0.500 0.500 0.500

Computed properties:
E_form   -0.14 eV/atom
V   17.237 Å³/atom
Crystal system   cubic
Fermi-level density of states   3.9 states/eV/f.u.
Symmetry   Fm-3m, No. 225
Final energy   -28.8 eV/cell